#i
Entry from the Alexandria database: LaSb2Cl after structural relaxation (PBE-GGA).

Unit cell a=5.436 b=5.436 c=5.436 alpha=60.00 beta=60.00 gamma=60.00
Fractional coordinates of all 4 atoms:
La 0.000 0.000 0.000
Sb 0.500 0.500 0.500
Sb 0.750 0.750 0.750
Cl 0.250 0.250 0.250

Output
- SG = No. 216
- DOS at the Fermi energy (states/eV/f.u.) = 5.96

---

#ii
Entry from the Alexandria database: LaSb2Cl after structural relaxation (PBE-GGA).

Unit cell a=3.924 b=3.924 c=7.784 alpha=90.00 beta=90.00 gamma=90.00
Fractional coordinates of all 4 atoms:
La 0.000 0.000 0.000
Sb 0.000 0.000 0.422
Sb 0.500 0.500 0.267
Cl 0.500 0.500 0.817

Output
- SG = No. 99
- DOS at the Fermi energy (states/eV/f.u.) = 1.75

---

#iii
Entry from the Alexandria database: LaSb2Cl after structural relaxation (PBE-GGA).

Unit cell a=10.259 b=10.259 c=10.259 alpha=20.18 beta=20.18 gamma=20.18
Fractional coordinates of all 4 atoms:
La 0.000 0.000 0.000
Sb 0.246 0.246 0.246
Sb 0.754 0.754 0.754
Cl 0.500 0.500 0.500

Output
- SG = No. 166
- DOS at the Fermi energy (states/eV/f.u.) = 2.23

---

Stability, lowest: #iii

---

#i
Entry from the Alexandria database: LaSb2Cl after structural relaxation (PBE-GGA).

Unit cell a=6.352 b=6.352 c=6.352 alpha=141.80 beta=124.83 gamma=69.09
Fractional coordinates of all 4 atoms:
La 0.000 0.000 0.000
Sb 0.358 0.858 0.500
Sb 0.548 0.548 0.000
Cl 0.817 0.317 0.500

Output
- SG = No. 44
- DOS at the Fermi energy (states/eV/f.u.) = 0.04

---

#ii
Entry from the Alexandria database: LaSb2Cl after structural relaxation (PBE-GGA).

Unit cell a=5.475 b=5.475 c=5.475 alpha=60.00 beta=60.00 gamma=60.00
Fractional coordinates of all 4 atoms:
La 0.000 0.000 0.000
Sb 0.250 0.250 0.250
Sb 0.750 0.750 0.750
Cl 0.500 0.500 0.500

Output
- SG = No. 225
- DOS at the Fermi energy (states/eV/f.u.) = 2.14

---

#iii
Entry from the Alexandria database: LaSb2Cl after structural relaxation (PBE-GGA).

Unit cell a=5.345 b=5.345 c=6.047 alpha=110.07 beta=110.07 gamma=46.95
Fractional coordinates of all 4 atoms:
La 0.000 0.000 0.000
Sb 0.220 0.220 0.590
Sb 0.493 0.493 0.467
Cl 0.715 0.715 0.089

Output
- SG = No. 8
- DOS at the Fermi energy (states/eV/f.u.) = 1.85

---

#iv
Entry from the Alexandria database: LaSb2Cl after structural relaxation (PBE-GGA).

Unit cell a=6.143 b=6.143 c=3.672 alpha=90.00 beta=90.00 gamma=123.82
Fractional coordinates of all 4 atoms:
La 0.000 0.000 0.000
Sb 0.000 0.500 0.500
Sb 0.500 0.000 0.500
Cl 0.500 0.500 0.000

Output
- SG = No. 65
- DOS at the Fermi energy (states/eV/f.u.) = 1.77

---

Stability, lowest: #ii

---

#i
Entry from the Alexandria database: LaSb2Cl after structural relaxation (PBE-GGA).

Unit cell a=4.489 b=4.489 c=5.950 alpha=90.00 beta=90.00 gamma=90.00
Fractional coordinates of all 4 atoms:
La 0.000 0.000 0.000
Sb 0.500 0.500 0.236
Sb 0.500 0.500 0.764
Cl 0.000 0.000 0.500

Output
- SG = No. 123
- DOS at the Fermi energy (states/eV/f.u.) = 2.07

---

#ii
Entry from the Alexandria database: LaSb2Cl after structural relaxation (PBE-GGA).

Unit cell a=6.568 b=6.568 c=6.568 alpha=141.87 beta=141.87 gamma=55.02
Fractional coordinates of all 4 atoms:
La 0.000 0.000 0.000
Sb 0.250 0.750 0.500
Sb 0.750 0.250 0.500
Cl 0.500 0.500 0.000

Output
- SG = No. 139
- DOS at the Fermi energy (states/eV/f.u.) = 0.07

---

#iii
Entry from the Alexandria database: LaSb2Cl after structural relaxation (PBE-GGA).

Unit cell a=4.279 b=4.279 c=5.893 alpha=90.00 beta=90.00 gamma=90.00
Fractional coordinates of all 4 atoms:
La 0.000 0.000 0.000
Sb 0.000 0.500 0.500
Sb 0.500 0.000 0.500
Cl 0.500 0.500 0.000

Output
- SG = No. 123
- DOS at the Fermi energy (states/eV/f.u.) = 1.81

---

Stability, lowest: #i

---

#i
Entry from the Alexandria database: LaSb3Cl after structural relaxation (PBE-GGA).

Unit cell a=5.335 b=5.335 c=5.335 alpha=90.00 beta=90.00 gamma=90.00
Fractional coordinates of all 5 atoms:
La 0.000 0.000 0.000
Sb 0.000 0.500 0.500
Sb 0.500 0.000 0.500
Sb 0.500 0.500 0.000
Cl 0.500 0.500 0.500

Output
- SG = No. 221
- DOS at the Fermi energy (states/eV/f.u.) = 2.87

---

#ii
Entry from the Alexandria database: LaSb3Cl after structural relaxation (PBE-GGA).

Unit cell a=6.091 b=6.091 c=6.091 alpha=90.00 beta=90.00 gamma=90.00
Fractional coordinates of all 5 atoms:
La 0.000 0.000 0.000
Sb 0.000 0.000 0.500
Sb 0.000 0.500 0.000
Sb 0.500 0.000 0.000
Cl 0.500 0.500 0.500

Output
- SG = No. 221
- DOS at the Fermi energy (states/eV/f.u.) = 5.66

---

Stability, lowest: #ii

---

#i
Entry from the Alexandria database: LaSb2TeCl after structural relaxation (PBE-GGA).

Unit cell a=5.285 b=5.285 c=5.544 alpha=90.00 beta=90.00 gamma=90.00
Fractional coordinates of all 5 atoms:
La 0.000 0.000 0.000
Sb 0.000 0.500 0.500
Sb 0.500 0.000 0.500
Te 0.500 0.500 0.000
Cl 0.500 0.500 0.500

Output
- SG = No. 123
- DOS at the Fermi energy (states/eV/f.u.) = 4.52

---

#ii
Entry from the Alexandria database: LaSb2TeCl after structural relaxation (PBE-GGA).

Unit cell a=6.192 b=6.192 c=5.999 alpha=90.00 beta=90.00 gamma=90.00
Fractional coordinates of all 5 atoms:
La 0.000 0.000 0.000
Sb 0.000 0.500 0.000
Sb 0.500 0.000 0.000
Te 0.000 0.000 0.500
Cl 0.500 0.500 0.500

Output
- SG = No. 123
- DOS at the Fermi energy (states/eV/f.u.) = 4.24

---

Stability, lowest: #ii

---

#i
Entry from the Alexandria database: LaSc2Cl after structural relaxation (PBE-GGA).

Unit cell a=6.403 b=6.403 c=6.403 alpha=149.71 beta=125.72 gamma=63.43
Fractional coordinates of all 4 atoms:
La 0.000 0.000 0.000
Sc 0.432 0.432 0.000
Sc 0.692 0.192 0.500
Cl 0.241 0.741 0.500

Output
- SG = No. 44
- DOS at the Fermi energy (states/eV/f.u.) = 5.37

---

#ii
Entry from the Alexandria database: LaSc2Cl after structural relaxation (PBE-GGA).

Unit cell a=4.169 b=4.169 c=6.514 alpha=90.00 beta=90.00 gamma=90.00
Fractional coordinates of all 4 atoms:
La 0.000 0.000 0.000
Sc 0.000 0.500 0.500
Sc 0.500 0.000 0.500
Cl 0.500 0.500 0.000

Output
- SG = No. 123
- DOS at the Fermi energy (states/eV/f.u.) = 6.74

---

#iii
Entry from the Alexandria database: LaSc2Cl after structural relaxation (PBE-GGA).

Unit cell a=5.273 b=5.273 c=5.273 alpha=60.00 beta=60.00 gamma=60.00
Fractional coordinates of all 4 atoms:
La 0.000 0.000 0.000
Sc 0.250 0.250 0.250
Sc 0.750 0.750 0.750
Cl 0.500 0.500 0.500

Output
- SG = No. 225
- DOS at the Fermi energy (states/eV/f.u.) = 7.58

---

Stability, lowest: #iii